The following is a DFT calculation (PBE-GGA) of crystalline Re2PtAu at its relaxed geometry.

Lattice parameters (Å, degrees): 4.9938 4.9938 4.9938 134.41 134.41 66.44
Fractional coordinates of all 4 atoms:
Au: 0.2500 0.7500 0.5000
Re: 0.0000 0.0000 0.0000
Re: 0.5000 0.5000 0.0000
Pt: 0.7500 0.2500 0.5000

Values from the calculation:
Energy of formation from the pure elements in eV/f.u.: 1.5
Energy above the most stable polymorph in this dataset in eV per atom: 0.2956
Space-group type: I4/mmm, No. 139

=====

The following is a DFT calculation (PBE-GGA) of crystalline Li2TlF3 at its relaxed geometry.

Lattice parameters (Å, degrees): 5.0198 6.1309 6.1309 96.15 90.00 90.00
Fractional coordinates of all 12 atoms:
Li: 0.0000 0.8409 0.8409
Li: 0.5000 0.8409 0.8409
Li: 0.5000 0.1591 0.1591
Li: 0.0000 0.1591 0.1591
F: 0.2500 0.0686 0.9314
F: 0.2500 0.6183 0.7852
F: 0.7500 0.7852 0.6183
F: 0.7500 0.3817 0.2148
F: 0.2500 0.2148 0.3817
F: 0.7500 0.9314 0.0686
Tl: 0.2500 0.6537 0.3463
Tl: 0.7500 0.3463 0.6537

Values from the calculation:
Space-group type: Cmcm, No. 63
Formation energy (no corrections) in eV/atom: -2.46